# PBE Li2HfP2, relaxed
# N(E_F): 0.43 states/eV/atom
# Spin magnetization: 0.000 μB per formula unit
# Energy of formation from the pure elements: -3.21 eV per formula unit
# Energy: -5.562 eV per atom
data_Li2HfP2
_chemical_formula_sum 'Li4 Hf2 P4'
_cell_length_a 3.581
_cell_length_b 3.581
_cell_length_c 11.366
_cell_angle_alpha 90.00
_cell_angle_beta 90.00
_cell_angle_gamma 90.00
_space_group_name_H-M_alt 'I 4/m m m'
_space_group_IT_number 139
_space_group_name_Hall '-I 4 2'
loop_
_atom_site_label
_atom_site_type_symbol
_atom_site_fract_x
_atom_site_fract_y
_atom_site_fract_z
Li1 Li 0.000 0.500 0.250
Hf1 Hf 0.000 0.000 0.000
P1 P 0.000 0.000 0.397

# PBE LiHfP3, relaxed
# Energy above the most stable polymorph in this dataset: 323 meV/atom
# N(E_F): 0.58 states/eV/atom
# Spin magnetization: 0.000 μB per formula unit
# Energy of formation from the pure elements: 1.94 eV per formula unit
# Energy: -5.230 eV per atom
data_LiHfP3
_chemical_formula_sum 'Li1 Hf1 P3'
_cell_length_a 4.317
_cell_length_b 4.317
_cell_length_c 4.317
_cell_angle_alpha 90.00
_cell_angle_beta 90.00
_cell_angle_gamma 90.00
_space_group_name_H-M_alt 'P m -3 m'
_space_group_IT_number 221
_space_group_name_Hall '-P 4 2 3'
loop_
_atom_site_label
_atom_site_type_symbol
_atom_site_fract_x
_atom_site_fract_y
_atom_site_fract_z
Li1 Li 0.000 0.000 0.000
Hf1 Hf 0.500 0.500 0.500
P1 P 0.000 0.000 0.500

# PBE LiHfPS2, relaxed
# Energy above the most stable polymorph in this dataset: 0 meV/atom
# N(E_F): 0.85 states/eV/atom
# Spin magnetization: 0.572 μB per formula unit
# Energy: -5.645 eV per atom
data_LiHfPS2
_chemical_formula_sum 'Li1 Hf1 P1 S2'
_cell_length_a 4.960
_cell_length_b 4.960
_cell_length_c 5.026
_cell_angle_alpha 90.00
_cell_angle_beta 90.00
_cell_angle_gamma 90.00
_space_group_name_H-M_alt 'P 4/m m m'
_space_group_IT_number 123
_space_group_name_Hall '-P 4 2'
loop_
_atom_site_label
_atom_site_type_symbol
_atom_site_fract_x
_atom_site_fract_y
_atom_site_fract_z
Li1 Li 0.000 0.000 0.000
Hf1 Hf 0.500 0.500 0.500
P1 P 0.500 0.500 0.000
S1 S 0.000 0.500 0.500